! AcCeCd4 (PBE, relaxed); values from VASP
! Formation enthalpy at 0 K in meV per atom: -236
! Spin magnetization in μB/atom: 0.1536
&SYSTEM
  ibrav = 0, nat = 6, ntyp = 3
/
ATOMIC_SPECIES
Ac 227.00 Ac.upf
Ce 140.12 Ce.upf
Cd 112.41 Cd.upf
ATOMIC_POSITIONS angstrom
Ac 0.000 0.000 0.000
Ce 6.474 6.474 6.474
Cd 3.242 3.242 3.242
Cd 5.391 5.391 3.242
Cd 5.391 3.242 5.391
Cd 3.242 5.391 5.391
CELL_PARAMETERS angstrom
0.000 4.316 4.316
4.316 0.000 4.316
4.316 4.316 0.000